! PBE+U PaCrP2O8, relaxed; values from VASP
! N(E_F): 6.00 states/eV/f.u.
! M_tot: 0.25 μB per atom
! Energy: -7.9569 eV/atom
! Symmetry: P-3m1 (164)
&SYSTEM
  ibrav = 0, nat = 12, ntyp = 4
/
ATOMIC_SPECIES
Pa 231.04 Pa.upf
Cr 52.00 Cr.upf
P 30.97 P.upf
O 16.00 O.upf
CELL_PARAMETERS angstrom
5.203 0.000 0.000
-2.601 4.506 0.000
0.000 0.000 6.540
ATOMIC_POSITIONS angstrom
Pa 0.000 0.000 0.000
Cr 0.000 0.000 3.270
P 0.000 3.004 1.412
P 2.601 1.502 5.128
O 0.000 1.530 1.883
O -1.276 3.741 1.883
O 0.000 3.004 6.415
O 1.325 0.765 4.657
O 1.276 3.741 1.883
O 2.601 1.502 0.125
O 3.878 0.765 4.657
O 2.601 2.976 4.657